PBE DyCdRu, optimized geometry; uncorrected energy = -5.066 eV per atom; crystal system = monoclinic; space group = No. 11
1.0
5.211 -0.123 -0.089
1.645 7.173 -0.167
1.635 1.281 7.063
Cd Dy Ru
4 4 4
Cartesian
4.967 6.130 6.510
5.164 6.427 3.745
3.524 2.200 0.297
3.327 1.903 3.062
2.365 4.351 5.055
2.371 7.298 1.439
6.126 3.979 1.752
6.120 1.032 5.368
4.895 3.746 4.567
4.901 6.691 0.953
3.596 4.584 2.240
3.590 1.639 5.854


PBE Dy12CdRu6, optimized geometry; energy relative to the lowest polymorph listed for this composition = 0.00 eV per formula unit; crystal system = cubic; space group = No. 204
1.0
-7.847 3.297 -0.226
-0.490 -8.500 -0.053
3.955 2.570 7.088
Dy Cd Ru
12 1 6
Cartesian
0.807 2.190 5.627
-1.791 -2.703 1.295
-2.591 0.070 5.514
-5.189 -4.823 1.182
-0.010 -5.743 2.034
-2.786 0.719 1.978
-1.596 -3.352 4.831
-4.372 3.110 4.775
-6.058 0.391 0.514
0.264 -0.607 3.428
-4.646 -2.026 3.381
1.676 -3.024 6.295
0.000 0.000 0.000
0.271 -0.761 6.096
-4.652 -1.872 0.713
-2.867 -4.829 2.503
-1.515 2.196 4.306
-5.078 0.979 3.326
0.696 -3.612 3.483


PBE Dy6Cd5Ru, optimized geometry; uncorrected energy = -3.806 eV per atom; crystal system = orthorhombic; space group = No. 65
1.0
4.918 -0.029 1.639
0.040 7.437 0.013
0.003 -0.015 8.190
Ru Cd Dy
1 5 6
Cartesian
0.000 0.000 0.000
3.326 3.689 6.483
1.585 -0.015 3.442
0.020 3.719 0.007
3.336 -0.029 6.387
1.634 3.704 3.360
4.191 5.642 3.920
4.171 1.737 3.913
2.468 1.686 0.823
2.490 5.722 0.830
0.790 5.656 5.929
0.769 1.751 5.922


PBE Dy6Cd2Ru, optimized geometry; uncorrected energy = -4.469 eV per atom; crystal system = monoclinic; space group = No. 14
1.0
-1.555 6.671 0.564
-7.064 -1.716 0.821
1.276 -0.312 10.328
Dy Cd Ru
12 4 2
Cartesian
-8.151 4.258 3.912
-5.424 4.024 6.598
-4.979 3.982 10.978
-1.767 4.019 6.096
-1.184 4.011 10.460
-4.129 3.020 3.329
0.808 0.384 7.802
-1.919 0.619 5.116
-2.364 0.661 0.736
-5.576 0.623 5.617
-6.159 0.632 1.253
-3.214 1.622 8.384
-3.460 5.422 8.609
-6.351 1.834 8.822
-0.992 2.809 2.892
-3.884 -0.780 3.105
-4.310 2.477 0.693
0.638 -0.156 5.164


PBE Dy5CdRu2, optimized geometry; uncorrected energy = -5.671 eV per atom; crystal system = tetragonal; space group = No. 140
1.0
-2.181 1.249 -7.365
7.394 -0.732 -2.314
-3.518 -6.810 3.998
Dy Cd Ru
10 2 4
Cartesian
1.525 -4.868 -2.567
4.559 -1.535 -7.012
0.000 0.000 0.000
2.606 0.258 -4.839
-2.865 -4.757 1.331
-2.578 -4.269 -2.782
1.238 -5.356 1.546
4.272 -2.024 -2.898
0.456 -0.936 -7.227
0.169 -1.425 -3.113
2.150 -3.017 -5.260
-0.456 -3.276 -0.421
2.322 -0.082 -1.882
-0.343 0.699 -5.072
5.555 -0.182 -4.607
2.890 0.599 -7.797


PBE Dy6CdRu5, optimized geometry; uncorrected energy = -6.589 eV per atom; crystal system = monoclinic; space group = No. 10
1.0
-1.693 -4.017 -2.190
3.519 1.646 -5.740
6.583 -1.755 3.533
Ru Cd Dy
5 1 6
Cartesian
2.821 -2.438 -3.154
3.863 -2.534 1.642
1.760 0.823 -2.870
1.027 -3.239 -0.299
5.588 -1.688 -1.242
0.000 0.000 0.000
5.530 -3.247 -3.772
3.809 -4.052 -0.964
6.670 -3.327 0.915
1.739 -0.799 -5.311
4.600 -0.075 -3.432
2.879 -0.880 -0.625


PBE Dy6Cd3Ru, optimized geometry; uncorrected energy = -4.233 eV per atom; crystal system = monoclinic; space group = No. 11
1.0
5.286 0.000 0.000
0.000 8.630 -2.896
0.000 0.010 11.384
Dy Cd Ru
12 6 2
Cartesian
1.322 4.019 -0.379
3.965 4.620 8.867
1.322 1.047 1.399
3.965 7.592 7.090
1.322 5.975 5.555
3.965 2.664 2.933
1.322 1.896 5.031
3.965 6.743 3.458
1.322 7.324 1.329
3.965 1.316 7.159
1.322 0.957 9.358
3.965 7.682 -0.869
1.322 4.375 2.742
3.965 4.264 5.747
1.322 3.609 7.676
3.965 5.030 0.813
1.322 6.659 8.845
3.965 1.980 -0.356
1.322 8.317 3.971
3.965 0.322 4.517


PBE Dy8Cd2Ru, optimized geometry; uncorrected energy = -4.549 eV per atom; crystal system = monoclinic; space group = No. 12
1.0
5.375 0.000 0.000
0.000 6.957 -0.035
-2.687 -3.030 8.160
Dy Cd Ru
8 2 1
Cartesian
0.000 1.599 6.610
2.687 5.659 2.425
2.687 3.176 4.948
2.687 -1.418 7.833
0.000 0.750 3.177
0.000 -1.733 5.699
2.687 2.327 1.515
0.000 5.344 0.291
2.687 0.159 5.171
0.000 3.767 2.953
2.687 0.000 0.000


PBE Dy4CdRu3, optimized geometry; uncorrected energy = -6.243 eV per atom; crystal system = tetragonal; space group = No. 123
1.0
4.874 0.000 0.000
0.000 7.089 0.000
0.000 0.000 9.747
Ru Cd Dy
6 2 8
Cartesian
0.000 0.000 0.000
0.000 0.000 4.874
2.436 0.000 7.311
2.437 0.000 2.437
2.435 3.544 7.311
2.439 3.544 2.437
0.000 3.544 0.000
0.000 3.544 4.874
2.437 5.427 0.000
2.437 5.427 4.874
2.437 1.662 0.000
2.437 1.662 4.874
4.874 5.427 7.311
0.000 5.427 2.437
0.000 1.662 2.437
4.874 1.662 7.311


PBE Dy5Cd4Ru, optimized geometry; uncorrected energy = -3.936 eV per atom; crystal system = tetragonal; space group = No. 123
1.0
3.546 0.000 0.000
0.000 3.546 0.000
0.000 0.000 19.727
Dy Cd Ru
5 4 1
Cartesian
1.773 1.773 1.620
1.773 1.773 5.776
1.773 1.773 9.863
1.773 1.773 13.950
1.773 1.773 18.107
0.000 0.000 3.778
0.000 0.000 7.826
0.000 0.000 11.901
0.000 0.000 15.949
0.000 0.000 0.000